Computed, not measured: a geometry-optimized Mn3P4H12N2O16 structure at the PBE+U level of DFT.

Cell lengths 8.536, 9.626, 9.541 Å; angles 79.31, 90.00, 90.00 degrees
Positions (direct):
Mn 0.862 0.135 0.997
Mn 0.362 0.865 0.503
Mn 0.138 0.865 0.003
Mn 0.638 0.135 0.497
Mn 0.500 0.000 0.000
Mn 0.000 0.000 0.500
P 0.952 0.297 0.260
P 0.452 0.703 0.240
P 0.048 0.703 0.740
P 0.548 0.297 0.760
P 0.200 0.096 0.209
P 0.700 0.904 0.291
P 0.800 0.904 0.791
P 0.300 0.096 0.709
H 0.646 0.504 0.919
H 0.146 0.496 0.581
H 0.354 0.496 0.081
H 0.854 0.504 0.419
H 0.782 0.454 0.048
H 0.282 0.546 0.452
H 0.218 0.546 0.952
H 0.718 0.454 0.548
H 0.629 0.557 0.079
H 0.129 0.443 0.421
H 0.371 0.443 0.921
H 0.871 0.557 0.579
H 0.770 0.627 0.960
H 0.270 0.373 0.540
H 0.230 0.373 0.040
H 0.730 0.627 0.460
H 0.994 0.374 0.791
H 0.494 0.626 0.709
H 0.006 0.626 0.209
H 0.506 0.374 0.291
H 0.031 0.222 0.750
H 0.531 0.778 0.750
H 0.969 0.778 0.250
H 0.469 0.222 0.250
N 0.708 0.537 0.002
N 0.208 0.463 0.498
N 0.292 0.463 0.998
N 0.792 0.537 0.502
O 0.639 0.871 0.857
O 0.139 0.129 0.643
O 0.361 0.129 0.143
O 0.861 0.871 0.357
O 0.615 0.188 0.884
O 0.115 0.812 0.616
O 0.385 0.812 0.116
O 0.885 0.188 0.384
O 0.701 0.997 0.141
O 0.201 0.003 0.359
O 0.299 0.003 0.859
O 0.799 0.997 0.641
O 0.083 0.042 0.109
O 0.583 0.958 0.391
O 0.917 0.958 0.891
O 0.417 0.042 0.609
O 0.979 0.271 0.821
O 0.479 0.729 0.679
O 0.021 0.729 0.179
O 0.521 0.271 0.321
O 0.866 0.300 0.119
O 0.366 0.700 0.381
O 0.134 0.700 0.881
O 0.634 0.300 0.619
O 0.133 0.250 0.233
O 0.633 0.750 0.267
O 0.867 0.750 0.767
O 0.367 0.250 0.733
O 0.972 0.444 0.296
O 0.472 0.556 0.204
O 0.028 0.556 0.704
O 0.528 0.444 0.796

## Properties
**Calculated total energy**: -0.4721 Ry/atom